Entry 1:
Crystalline Ag2AsW at its relaxed geometry, computed with PBE.

Cell lengths 4.5496, 4.5496, 4.5496 Å; angles 60.00, 60.00, 60.00 degrees
Fractional coordinates of all 4 atoms:
Ag 0.0000 0.0000 0.0000
Ag 0.2500 0.2500 0.2500
As 0.5000 0.5000 0.5000
W 0.7500 0.7500 0.7500

---

Entry 2:
Crystalline AgAs3W at its relaxed geometry, computed with PBE.

Cell lengths 7.3626, 7.3626, 10.8315 Å; angles 127.16, 127.16, 24.35 degrees
Fractional coordinates of all 10 atoms:
Ag 0.1447 0.1447 0.3883
Ag 0.8553 0.8553 0.6117
As 0.0854 0.0854 0.8239
As 0.3871 0.3871 0.4277
As 0.3889 0.3889 0.8706
As 0.6111 0.6111 0.1294
As 0.6129 0.6129 0.5723
As 0.9146 0.9146 0.1761
W 0.2512 0.2512 0.1151
W 0.7488 0.7488 0.8849

---

| no. | E_tot (eV per atom) |
| --- | --- |
| 1 | -5.15 |
| 2 | -5.86 |